DFT (GGA+U) results for SrNi3C4O12 after structural relaxation.

Results
Raw total energy in eV/atom: -6.8250
Symmetry: R32

Geometry as POSCAR:
```
SrNi3C4O12
1.0
4.8144 2.7796 2.6476
-4.8144 2.7796 2.6476
0.0000 -5.5592 2.6476
Sr Ni C O
1 3 4 12
Cartesian
0.0000 0.0000 0.0000
-2.6244 -1.0135 2.6476
-2.6244 1.0135 5.2952
0.4345 2.7796 2.6476
-2.1793 -3.7746 3.9714
0.0000 0.0000 3.9714
-2.1793 3.7746 3.9714
4.3585 0.0000 3.9714
-2.8403 -2.6869 3.7864
-3.9553 0.0000 3.9714
-0.9068 -3.8033 4.1563
-1.3013 0.0000 3.9714
-2.8403 2.6869 4.1563
1.9777 -3.4254 3.9714
0.6507 -1.1270 3.9714
-0.9068 3.8033 3.7864
0.6507 1.1270 3.9714
3.7471 -1.1163 3.7864
1.9777 3.4254 3.9714
3.7471 1.1163 4.1563
```